# Mg2CuIr PBE-GGA relaxed
# energy: -4.151 eV/atom
data_Mg2CuIr
_cell_length_a 4.093
_cell_length_b 4.093
_cell_length_c 3.612
_cell_angle_alpha 90.00
_cell_angle_beta 90.00
_cell_angle_gamma 90.00
_symmetry_space_group_name_H-M 'P 4/m m m'
_symmetry_Int_Tables_number 123
_symmetry_space_group_name_Hall '-P 4 2'
loop_
_atom_site_label
_atom_site_type_symbol
_atom_site_fract_x
_atom_site_fract_y
_atom_site_fract_z
_atom_site_occupancy
Mg1 Mg 0.000 0.500 0.000 1
Cu1 Cu 0.000 0.000 0.500 1
Ir1 Ir 0.500 0.500 0.500 1